MgTcRu2: relaxed, PBE-GGA.

Lattice parameters (Å, degrees): 2.992 4.415 4.415 90.00 90.00 90.00
Fractional positions:
Ru: 0.000 0.000 0.000
Ru: 0.000 0.500 0.500
Mg: 0.500 0.000 0.500
Tc: 0.500 0.500 0.000

Output
* mass density: 9.24 g/cm³
* density of states at the Fermi level: 2.9 states/eV/f.u.
* electronic total energy: -7.480 eV/atom

***

Pr8YEr4: relaxed, PBE-GGA.

Lattice parameters (Å, degrees): 7.283 7.283 10.679 90.00 109.94 120.00
Fractional positions:
Pr: 0.961 0.752 0.713
Pr: 0.039 0.791 0.287
Pr: 0.504 0.752 0.713
Pr: 0.496 0.248 0.287
Pr: 0.961 0.209 0.713
Pr: 0.039 0.248 0.287
Pr: 0.423 0.212 0.635
Pr: 0.577 0.788 0.365
Er: 0.000 0.000 0.000
Er: 0.000 0.500 0.000
Er: 0.500 0.500 0.000
Er: 0.500 0.000 0.000
Y: 0.000 0.500 0.500

Output
* mass density: 6.94 g/cm³
* density of states at the Fermi level: 13.9 states/eV/f.u.
* electronic total energy: -4.649 eV/atom

***

TbCeCd4: relaxed, PBE-GGA.

Lattice parameters (Å, degrees): 3.325 6.066 8.787 90.00 90.00 56.77
Fractional positions:
Ce: 0.501 0.497 0.998
Cd: 0.001 0.497 0.335
Cd: 0.001 0.497 0.662
Cd: 0.501 0.997 0.168
Cd: 0.502 0.997 0.828
Tb: 0.001 0.997 0.498

Output
* mass density: 8.39 g/cm³
* density of states at the Fermi level: 9.2 states/eV/f.u.
* electronic total energy: -2.653 eV/atom
* energy above the most stable polymorph in this dataset: 0.00 eV/f.u.

***

BaRe2Hg: relaxed, PBE-GGA.

Lattice parameters (Å, degrees): 3.662 3.662 7.282 90.00 90.00 90.00
Fractional positions:
Hg: 0.500 0.500 0.750
Re: 0.000 0.000 0.591
Re: 0.000 0.000 0.909
Ba: 0.500 0.500 0.250

Output
* mass density: 12.08 g/cm³
* density of states at the Fermi level: 4.6 states/eV/f.u.
* electronic total energy: -5.542 eV/atom

***

La2PrTm: relaxed, PBE-GGA.

Lattice parameters (Å, degrees): 3.675 3.675 12.166 81.31 81.31 60.00
Fractional positions:
La: 0.253 0.253 0.242
La: 0.081 0.081 0.757
Pr: 0.499 0.499 0.503
Tm: 0.667 0.667 0.998

Output
* mass density: 6.96 g/cm³
* density of states at the Fermi level: 6.8 states/eV/f.u.
* electronic total energy: -4.749 eV/atom
* energy above the most stable polymorph in this dataset: 0.07 eV/f.u.